A.
# Zn3CoC GGA-PBE relaxed
data_Zn3CoC
_cell_length_a 4.5151
_cell_length_b 4.5151
_cell_length_c 4.5151
_cell_angle_alpha 90.00
_cell_angle_beta 90.00
_cell_angle_gamma 90.00
_space_group_name_H-M_alt 'P m -3 m'
_space_group_IT_number 221
_space_group_name_Hall '-P 4 2 3'
loop_
_atom_site_label
_atom_site_fract_x
_atom_site_fract_y
_atom_site_fract_z
_atom_site_occupancy
Zn1 0.0000 0.0000 0.5000 1
Co1 0.0000 0.0000 0.0000 1
C1 0.5000 0.5000 0.5000 1
# DOS at the Fermi energy (states/eV/atom): 0.69

B.
# Zn3CoC GGA-PBE relaxed
data_Zn3CoC
_cell_length_a 4.0604
_cell_length_b 4.0604
_cell_length_c 4.0604
_cell_angle_alpha 90.00
_cell_angle_beta 90.00
_cell_angle_gamma 90.00
_space_group_name_H-M_alt 'P m -3 m'
_space_group_IT_number 221
_space_group_name_Hall '-P 4 2 3'
loop_
_atom_site_label
_atom_site_fract_x
_atom_site_fract_y
_atom_site_fract_z
_atom_site_occupancy
Zn1 0.0000 0.0000 0.5000 1
Co1 0.5000 0.5000 0.5000 1
C1 0.0000 0.0000 0.0000 1
# DOS at the Fermi energy (states/eV/atom): 1.31

Top of the stability list: B, leading by 811 meV/atom.

A.
# ZnCo2C GGA-PBE relaxed
data_ZnCo2C
_cell_length_a 2.8363
_cell_length_b 2.8363
_cell_length_c 18.1426
_cell_angle_alpha 90.00
_cell_angle_beta 90.00
_cell_angle_gamma 120.00
_space_group_name_H-M_alt 'R -3 m'
_space_group_IT_number 166
_space_group_name_Hall '-R 3 2"'
loop_
_atom_site_label
_atom_site_fract_x
_atom_site_fract_y
_atom_site_fract_z
_atom_site_occupancy
Zn1 0.0000 0.0000 0.0000 1
Co1 0.0000 0.0000 0.2204 1
C1 0.0000 0.0000 0.5000 1
# DOS at the Fermi energy (states/eV/atom): 0.59

B.
# ZnCo2C GGA-PBE relaxed
data_ZnCo2C
_cell_length_a 5.4049
_cell_length_b 5.4049
_cell_length_c 5.4049
_cell_angle_alpha 90.00
_cell_angle_beta 90.00
_cell_angle_gamma 90.00
_space_group_name_H-M_alt 'F m -3 m'
_space_group_IT_number 225
_space_group_name_Hall '-F 4 2 3'
loop_
_atom_site_label
_atom_site_fract_x
_atom_site_fract_y
_atom_site_fract_z
_atom_site_occupancy
Zn1 0.0000 0.0000 0.0000 1
Co1 0.2500 0.2500 0.2500 1
C1 0.0000 0.0000 0.5000 1
# DOS at the Fermi energy (states/eV/atom): 0.34

C.
# ZnCo2C GGA-PBE relaxed
data_ZnCo2C
_cell_length_a 5.9329
_cell_length_b 5.9329
_cell_length_c 4.9230
_cell_angle_alpha 90.00
_cell_angle_beta 90.00
_cell_angle_gamma 90.00
_space_group_name_H-M_alt 'I -4 2 d'
_space_group_IT_number 122
_space_group_name_Hall 'I -4 2bw'
loop_
_atom_site_label
_atom_site_fract_x
_atom_site_fract_y
_atom_site_fract_z
_atom_site_occupancy
Zn1 0.0000 0.0000 0.0000 1
Co1 0.1462 0.2500 0.6250 1
C1 0.0000 0.0000 0.5000 1
# DOS at the Fermi energy (states/eV/atom): 0.57

Top of the stability list: A, leading by 219 meV/atom.

A.
# ZnCoC3 GGA-PBE relaxed
data_ZnCoC3
_cell_length_a 3.7551
_cell_length_b 3.7551
_cell_length_c 3.7551
_cell_angle_alpha 90.00
_cell_angle_beta 90.00
_cell_angle_gamma 90.00
_space_group_name_H-M_alt 'P m -3 m'
_space_group_IT_number 221
_space_group_name_Hall '-P 4 2 3'
loop_
_atom_site_label
_atom_site_fract_x
_atom_site_fract_y
_atom_site_fract_z
_atom_site_occupancy
Zn1 0.0000 0.0000 0.0000 1
Co1 0.5000 0.5000 0.5000 1
C1 0.0000 0.5000 0.5000 1
# DOS at the Fermi energy (states/eV/atom): 0.66

B.
# ZnCoC3 GGA-PBE relaxed
data_ZnCoC3
_cell_length_a 3.8485
_cell_length_b 3.8485
_cell_length_c 3.8485
_cell_angle_alpha 90.00
_cell_angle_beta 90.00
_cell_angle_gamma 90.00
_space_group_name_H-M_alt 'P m -3 m'
_space_group_IT_number 221
_space_group_name_Hall '-P 4 2 3'
loop_
_atom_site_label
_atom_site_fract_x
_atom_site_fract_y
_atom_site_fract_z
_atom_site_occupancy
Zn1 0.0000 0.0000 0.0000 1
Co1 0.5000 0.5000 0.5000 1
C1 0.0000 0.0000 0.5000 1
# DOS at the Fermi energy (states/eV/atom): 1.22

Top of the stability list: A, leading by 998 meV/atom.

A.
# ZnCo3C GGA-PBE relaxed
data_ZnCo3C
_cell_length_a 4.3136
_cell_length_b 4.3136
_cell_length_c 4.3136
_cell_angle_alpha 90.00
_cell_angle_beta 90.00
_cell_angle_gamma 90.00
_space_group_name_H-M_alt 'P m -3 m'
_space_group_IT_number 221
_space_group_name_Hall '-P 4 2 3'
loop_
_atom_site_label
_atom_site_fract_x
_atom_site_fract_y
_atom_site_fract_z
_atom_site_occupancy
Zn1 0.0000 0.0000 0.0000 1
Co1 0.0000 0.0000 0.5000 1
C1 0.5000 0.5000 0.5000 1
# DOS at the Fermi energy (states/eV/atom): 2.67

B.
# ZnCo3C GGA-PBE relaxed
data_ZnCo3C
_cell_length_a 3.7376
_cell_length_b 3.7376
_cell_length_c 3.7376
_cell_angle_alpha 90.00
_cell_angle_beta 90.00
_cell_angle_gamma 90.00
_space_group_name_H-M_alt 'P m -3 m'
_space_group_IT_number 221
_space_group_name_Hall '-P 4 2 3'
loop_
_atom_site_label
_atom_site_fract_x
_atom_site_fract_y
_atom_site_fract_z
_atom_site_occupancy
Zn1 0.0000 0.0000 0.0000 1
Co1 0.0000 0.5000 0.5000 1
C1 0.5000 0.5000 0.5000 1
# DOS at the Fermi energy (states/eV/atom): 0.70

Top of the stability list: B, leading by 2439 meV/atom.